No. 1
DFT (GGA-PBE) results for Ga8Mo2W after structural relaxation.

Cell: 4.9916 4.9916 10.1158 Å, 98.84 98.84 42.88°
Last column: nearest neighbours and their distance in Å.
Sites, in units of the cell vectors:
Ga (0.0396, 0.0396, 0.3207)  2 Mo 2.56, 2 W 2.64, 5 Ga 2.78-2.87
Ga (0.1323, 0.1323, 0.9581)  6 Ga 2.68-2.92, 5 Mo 2.79-2.97
Ga (0.2269, 0.2269, 0.5889)  7 Ga 2.65-2.87, 1 Mo 2.80, 3 W 2.82-2.83
Ga (0.3151, 0.3151, 0.2221)  8 Ga 2.68-2.92, 3 Mo 2.74-2.78
Ga (0.6849, 0.6849, 0.7779)  8 Ga 2.68-2.92, 3 Mo 2.74-2.78
Ga (0.7731, 0.7731, 0.4111)  7 Ga 2.65-2.87, 1 Mo 2.80, 3 W 2.82-2.83
Ga (0.8677, 0.8677, 0.0419)  6 Ga 2.68-2.92, 5 Mo 2.79-2.97
Ga (0.9604, 0.9604, 0.6793)  2 Mo 2.56, 2 W 2.64, 5 Ga 2.78-2.87
Mo (0.4051, 0.4051, 0.8412)  8 Ga 2.56-2.80
Mo (0.5949, 0.5949, 0.1588)  8 Ga 2.56-2.80
W (0.5000, 0.5000, 0.5000)  10 Ga 2.64-2.83

Output
As for the magnetic moment: 0.002 μB per atom. The calculation puts the volume at 169.2 Å³/f.u. The value obtained for the energy is -0.398 Ry per atom.

=====

No. 2
DFT (GGA-PBE) results for YGa40Mo8 after structural relaxation.

Cell: 9.6046 9.6046 9.6046 Å, 94.38 94.38 94.38°
Last column: nearest neighbours and their distance in Å.
Sites, in units of the cell vectors:
Y (0.0000, 0.0000, 0.0000)  6 Ga 3.02, 2 Mo 3.21
Ga (0.0000, 0.5000, 0.5000)  2 Mo 2.56, 4 Ga 2.81-2.84
Ga (0.0355, 0.2144, 0.4056)  2 Mo 2.61, 6 Ga 2.76-2.91
Ga (0.0415, 0.7153, 0.8614)  2 Mo 2.63-2.66, 5 Ga 2.71-2.92
Ga (0.0717, 0.4441, 0.7782)  2 Mo 2.60-2.63, 5 Ga 2.71-2.87
Ga (0.1208, 0.1705, 0.6954)  2 Mo 2.68-2.70, 6 Ga 2.72-2.98
Ga (0.1386, 0.9585, 0.2847)  2 Mo 2.63-2.66, 5 Ga 2.71-2.92
Ga (0.1705, 0.6954, 0.1208)  2 Mo 2.68-2.70, 6 Ga 2.72-2.98
Ga (0.2144, 0.4056, 0.0355)  2 Mo 2.61, 6 Ga 2.76-2.91
Ga (0.2218, 0.9283, 0.5559)  2 Mo 2.60-2.63, 5 Ga 2.71-2.87
Ga (0.2244, 0.4684, 0.3271)  2 Mo 2.64-2.68, 3 Ga 2.81-2.85
Ga (0.2690, 0.6381, 0.6117)  2 Mo 2.67, 7 Ga 2.85-2.98
Ga (0.2847, 0.1386, 0.9585)  2 Mo 2.63-2.66, 5 Ga 2.71-2.92
Ga (0.3046, 0.8792, 0.8295)  2 Mo 2.68-2.70, 6 Ga 2.72-2.98
Ga (0.3271, 0.2244, 0.4684)  2 Mo 2.64-2.68, 3 Ga 2.81-2.85
Ga (0.3619, 0.3883, 0.7310)  2 Mo 2.67, 7 Ga 2.85-2.98
Ga (0.3883, 0.7310, 0.3619)  2 Mo 2.67, 7 Ga 2.85-2.98
Ga (0.4056, 0.0355, 0.2144)  2 Mo 2.61, 6 Ga 2.76-2.91
Ga (0.4441, 0.7782, 0.0717)  2 Mo 2.60-2.63, 5 Ga 2.71-2.87
Ga (0.4684, 0.3271, 0.2244)  2 Mo 2.64-2.68, 3 Ga 2.81-2.85
Ga (0.5000, 0.0000, 0.5000)  2 Mo 2.56, 4 Ga 2.81-2.84
Ga (0.5000, 0.5000, 0.0000)  2 Mo 2.56, 4 Ga 2.81-2.84
Ga (0.5000, 0.5000, 0.5000)  12 Ga 2.90-3.00
Ga (0.5316, 0.6729, 0.7756)  2 Mo 2.64-2.68, 3 Ga 2.81-2.85
Ga (0.5559, 0.2218, 0.9283)  2 Mo 2.60-2.63, 5 Ga 2.71-2.87
Ga (0.5944, 0.9645, 0.7856)  2 Mo 2.61, 6 Ga 2.76-2.91
Ga (0.6117, 0.2690, 0.6381)  2 Mo 2.67, 7 Ga 2.85-2.98
Ga (0.6381, 0.6117, 0.2690)  2 Mo 2.67, 7 Ga 2.85-2.98
Ga (0.6729, 0.7756, 0.5316)  2 Mo 2.64-2.68, 3 Ga 2.81-2.85
Ga (0.6954, 0.1208, 0.1705)  2 Mo 2.68-2.70, 6 Ga 2.72-2.98
Ga (0.7153, 0.8614, 0.0415)  2 Mo 2.63-2.66, 5 Ga 2.71-2.92
Ga (0.7310, 0.3619, 0.3883)  2 Mo 2.67, 7 Ga 2.85-2.98
Ga (0.7756, 0.5316, 0.6729)  2 Mo 2.64-2.68, 3 Ga 2.81-2.85
Ga (0.7782, 0.0717, 0.4441)  2 Mo 2.60-2.63, 5 Ga 2.71-2.87
Ga (0.7856, 0.5944, 0.9645)  2 Mo 2.61, 6 Ga 2.76-2.91
Ga (0.8295, 0.3046, 0.8792)  2 Mo 2.68-2.70, 6 Ga 2.72-2.98
Ga (0.8614, 0.0415, 0.7153)  2 Mo 2.63-2.66, 5 Ga 2.71-2.92
Ga (0.8792, 0.8295, 0.3046)  2 Mo 2.68-2.70, 6 Ga 2.72-2.98
Ga (0.9283, 0.5559, 0.2218)  2 Mo 2.60-2.63, 5 Ga 2.71-2.87
Ga (0.9585, 0.2847, 0.1386)  2 Mo 2.63-2.66, 5 Ga 2.71-2.92
Ga (0.9645, 0.7856, 0.5944)  2 Mo 2.61, 6 Ga 2.76-2.91
Mo (0.1136, 0.7103, 0.3902)  10 Ga 2.56-2.70
Mo (0.2099, 0.2099, 0.2099)  9 Ga 2.61-2.64
Mo (0.2897, 0.6098, 0.8864)  10 Ga 2.56-2.70
Mo (0.3902, 0.1136, 0.7103)  10 Ga 2.56-2.70
Mo (0.6098, 0.8864, 0.2897)  10 Ga 2.56-2.70
Mo (0.7103, 0.3902, 0.1136)  10 Ga 2.56-2.70
Mo (0.7901, 0.7901, 0.7901)  9 Ga 2.61-2.64
Mo (0.8864, 0.2897, 0.6098)  10 Ga 2.56-2.70

Output
As for the magnetic moment: 0.001 μB per atom. The calculation puts the volume at 877.8 Å³/f.u. The value obtained for the energy is -0.333 Ry per atom.

=====

No. 3
DFT (GGA-PBE) results for YGaMo2 after structural relaxation.

Cell: 4.6788 4.6788 4.6788 Å, 60.00 60.00 60.00°
Last column: nearest neighbours and their distance in Å.
Sites, in units of the cell vectors:
Y (0.0000, 0.0000, 0.0000)  4 Mo 2.87, 4 Ga 2.87
Ga (0.7500, 0.7500, 0.7500)  4 Mo 2.87, 4 Y 2.87
Mo (0.2500, 0.2500, 0.2500)  4 Mo 2.87, 4 Y 2.87
Mo (0.5000, 0.5000, 0.5000)  4 Mo 2.87, 4 Ga 2.87

Output
As for the magnetic moment: 0.001 μB per atom. The calculation puts the volume at 72.4 Å³/f.u. The value obtained for the energy is -0.568 Ry per atom.